(1)
## Te2PtBr (GGA-PBE)

Data for Te2PtBr after structural relaxation.

Magnetization = 0.00 μB/cell
Calculated total energy = -40.007 eV/cell
Energy relative to the elements, uncorrected = 0.165 eV/atom

Unit cell a=3.1630 b=3.1630 c=36.6052 alpha=90.00 beta=90.00 gamma=120.00
Space group R-3m (No. 166, hexagonal axes)
Inequivalent atoms, fractional coordinates:
Te (0.0000, 0.0000, 0.0707) x6
Pt (0.0000, 0.0000, 0.0000) x3
Br (0.0000, 0.0000, 0.5000) x3

(2)
## TePtBr2 (GGA-PBE)

Data for TePtBr2 after structural relaxation.

Magnetization = 0.00 μB/cell
Calculated total energy = -10.442 eV/cell
Energy relative to the elements, uncorrected = 0.521 eV/atom

Unit cell a=3.190 b=3.190 c=11.651 alpha=90.00 beta=90.00 gamma=90.00
Space group P4/mmm (No. 123)
Inequivalent atoms, fractional coordinates:
Te (0.000, 0.000, 0.000) x1
Pt (0.000, 0.000, 0.500) x1
Br (0.500, 0.500, 0.352) x2

(3)
## Te2PtBr (GGA-PBE)

Data for Te2PtBr after structural relaxation.

Magnetization = 0.00 μB/cell
Calculated total energy = -30.944 eV/cell
Energy relative to the elements, uncorrected = -0.369 eV/atom

Unit cell a=4.083 b=6.984 c=10.214 alpha=92.12 beta=101.49 gamma=106.94
Space group P1 (No. 1)
Inequivalent atoms, fractional coordinates:
Te (0.000, 0.000, 0.000) x1
Te (0.089, 0.912, 0.271) x1
Te (0.265, 0.534, 0.000) x1
Te (0.823, 0.378, 0.270) x1
Pt (0.451, 0.643, 0.262) x1
Pt (0.638, 0.268, 0.010) x1
Br (0.467, 0.185, 0.755) x1
Br (0.627, 0.724, 0.517) x1